Here is RbPu2TlO8 after structural relaxation from Alexandria. Energies are from PBE-GGA.

a = 6.092 Å, b = 6.092 Å, c = 7.258 Å
α = 90.00°, β = 90.00°, γ = 120.00°
Each line ends with the local moment (μB).
Sites, in units of the cell vectors:
Rb1 0.000 0.000 0.500  0.00
Pu1 0.667 0.333 0.060  2.68
Pu2 0.333 0.667 0.940  2.68
Tl1 0.000 0.000 0.000  0.09
O1 0.943 0.625 0.879  -0.14
O2 0.375 0.318 0.879  -0.14
O3 0.682 0.057 0.879  -0.14
O4 0.057 0.375 0.121  -0.14
O5 0.625 0.682 0.121  -0.14
O6 0.318 0.943 0.121  -0.14
O7 0.667 0.333 0.318  -0.26
O8 0.333 0.667 0.682  -0.26

Properties
The crystal system is trigonal. As for the symmetry: P-3. Its formation energy without anion corrections is -1788.3 meV per atom. The size of the total moment comes out at 4.00 μB per formula unit. For the energy, the calculation gives -0.2852 Ha/atom.